1.
DFT (GGA-PBE) results for an optimized crystal structure of LuTcHg.

a b c (Å): 4.667 4.667 4.667
angles (deg): 60.00 60.00 60.00
Fractional positions:
Hg 0.250 0.250 0.250
Tc 0.750 0.750 0.750
Lu 0.000 0.000 0.000

Values from the calculation:
E_tot, Ha/atom: -0.1543
Total moment, μB per cell: 1.67
Polymorph energy (0 for the lowest one), eV/atom: 0.2830

---

2.
DFT (GGA-PBE) results for an optimized crystal structure of NpBr.

a b c (Å): 4.680 4.680 4.680
angles (deg): 60.00 60.00 60.00
Last column: magnetic moment on the atom in μB.
Fractional positions:
Np 0.250 0.250 0.250  4.77
Br 0.000 0.000 0.000  0.01

Values from the calculation:
E_tot, Ha/atom: -0.2619
Total moment, μB per cell: 5.86

---

3.
DFT (GGA-PBE) results for an optimized crystal structure of Tl4Pt.

a b c (Å): 6.612 6.890 6.890
angles (deg): 57.66 90.00 90.00
Fractional positions:
Tl 0.676 0.302 0.962
Tl 0.676 0.705 0.045
Tl 0.176 0.462 0.802
Tl 0.176 0.545 0.205
Tl 0.824 0.802 0.462
Tl 0.824 0.205 0.545
Tl 0.324 0.045 0.705
Tl 0.324 0.962 0.302
Pt 0.500 0.503 0.503
Pt 0.000 0.003 0.003

Values from the calculation:
E_tot, Ha/atom: -0.1144
Total moment, μB per cell: 0.01